Below is crystalline ZnReW at its relaxed geometry, with properties calculated at the PBEsol level.

CIF file:
```
data_ZnReW
_chemical_formula_sum 'Zn1 Re1 W1'
_cell_length_a 4.203
_cell_length_b 4.203
_cell_length_c 4.203
_cell_angle_alpha 60.00
_cell_angle_beta 60.00
_cell_angle_gamma 60.00
_symmetry_space_group_name_H-M 'P 1'
_symmetry_Int_Tables_number 1
_symmetry_space_group_name_Hall 'P 1'
loop_
_atom_site_label
_atom_site_fract_x
_atom_site_fract_y
_atom_site_fract_z
W1 0.000 0.000 0.000
Re1 0.250 0.250 0.250
Zn1 0.500 0.500 0.500
```

Results
Energy of formation from the pure elements in eV/atom: 0.83
Space-group type: F-43m (216)

=====

Below is crystalline MnFe3 at its relaxed geometry, with properties calculated at the PBEsol level.

CIF file:
```
data_MnFe3
_chemical_formula_sum 'Mn1 Fe3'
_cell_length_a 2.385
_cell_length_b 4.617
_cell_length_c 4.617
_cell_angle_alpha 117.10
_cell_angle_beta 99.92
_cell_angle_gamma 99.92
_symmetry_space_group_name_H-M 'P 1'
_symmetry_Int_Tables_number 1
_symmetry_space_group_name_Hall 'P 1'
loop_
_atom_site_label
_atom_site_fract_x
_atom_site_fract_y
_atom_site_fract_z
Mn1 0.500 0.000 0.000
Fe1 0.000 0.500 0.000
Fe2 0.000 0.000 0.500
Fe3 0.500 0.500 0.500
```

Results
Energy of formation from the pure elements in eV/atom: 0.10
Space-group type: R-3m (166)

=====

Below is crystalline K2AsCl at its relaxed geometry, with properties calculated at the PBEsol level.

CIF file:
```
data_K2AsCl
_chemical_formula_sum 'K2 As1 Cl1'
_cell_length_a 5.357
_cell_length_b 5.662
_cell_length_c 5.357
_cell_angle_alpha 118.23
_cell_angle_beta 90.00
_cell_angle_gamma 118.23
_symmetry_space_group_name_H-M 'P 1'
_symmetry_Int_Tables_number 1
_symmetry_space_group_name_Hall 'P 1'
loop_
_atom_site_label
_atom_site_fract_x
_atom_site_fract_y
_atom_site_fract_z
As1 0.500 0.000 0.500
K1 0.250 0.500 0.750
Cl1 0.000 0.000 0.000
K2 0.750 0.500 0.250
```

Results
Raw formation energy in meV/atom: -591
Space-group type: I4/mmm (139)

=====

Below is crystalline PtAu at its relaxed geometry, with properties calculated at the PBEsol level.

CIF file:
```
data_PtAu
_chemical_formula_sum 'Pt2 Au2'
_cell_length_a 2.781
_cell_length_b 2.781
_cell_length_c 9.525
_cell_angle_alpha 90.00
_cell_angle_beta 90.00
_cell_angle_gamma 120.00
_symmetry_space_group_name_H-M 'P 1'
_symmetry_Int_Tables_number 1
_symmetry_space_group_name_Hall 'P 1'
loop_
_atom_site_label
_atom_site_fract_x
_atom_site_fract_y
_atom_site_fract_z
Au1 0.667 0.333 0.128
Pt1 0.333 0.667 0.378
Au2 0.333 0.667 0.872
Pt2 0.667 0.333 0.622
```

Results
Energy of formation from the pure elements in eV/atom: 0.06
Space-group type: P-3m1 (164)

=====

Below is crystalline Li2AgF3 at its relaxed geometry, with properties calculated at the PBEsol level.

CIF file:
```
data_Li2AgF3
_chemical_formula_sum 'Li4 Ag2 F6'
_cell_length_a 5.202
_cell_length_b 5.763
_cell_length_c 5.165
_cell_angle_alpha 81.51
_cell_angle_beta 70.91
_cell_angle_gamma 63.17
_symmetry_space_group_name_H-M 'P 1'
_symmetry_Int_Tables_number 1
_symmetry_space_group_name_Hall 'P 1'
loop_
_atom_site_label
_atom_site_fract_x
_atom_site_fract_y
_atom_site_fract_z
Ag1 0.059 0.882 0.750
F1 0.000 0.500 0.000
F2 0.500 0.500 0.500
F3 0.400 0.762 0.030
F4 0.161 0.238 0.530
F5 0.839 0.762 0.470
Li1 0.746 0.509 0.750
Li2 0.640 0.721 0.250
Ag2 0.941 0.118 0.250
Li3 0.360 0.279 0.750
Li4 0.254 0.491 0.250
F6 0.600 0.238 0.970
```

Results
Energy relative to the lowest polymorph listed for this composition in eV per formula unit: 0.35
Raw formation energy in meV/atom: -2211
Space-group type: C2/c (15)

=====

Below is crystalline Mg3Hg at its relaxed geometry, with properties calculated at the PBEsol level.

CIF file:
```
data_Mg3Hg
_chemical_formula_sum 'Mg3 Hg1'
_cell_length_a 3.250
_cell_length_b 3.250
_cell_length_c 8.179
_cell_angle_alpha 90.00
_cell_angle_beta 90.00
_cell_angle_gamma 90.00
_symmetry_space_group_name_H-M 'P 1'
_symmetry_Int_Tables_number 1
_symmetry_space_group_name_Hall 'P 1'
loop_
_atom_site_label
_atom_site_fract_x
_atom_site_fract_y
_atom_site_fract_z
Mg1 0.500 0.500 0.770
Mg2 0.500 0.500 0.230
Mg3 0.000 0.000 0.500
Hg1 0.000 0.000 0.000
```

Results
Energy of formation from the pure elements in eV/atom: -0.14
Space-group type: P4/mmm (123)

=====

Below is crystalline PIrW at its relaxed geometry, with properties calculated at the PBEsol level.

CIF file:
```
data_PIrW
_chemical_formula_sum 'P1 Ir1 W1'
_cell_length_a 3.983
_cell_length_b 3.983
_cell_length_c 3.983
_cell_angle_alpha 60.00
_cell_angle_beta 60.00
_cell_angle_gamma 60.00
_symmetry_space_group_name_H-M 'P 1'
_symmetry_Int_Tables_number 1
_symmetry_space_group_name_Hall 'P 1'
loop_
_atom_site_label
_atom_site_fract_x
_atom_site_fract_y
_atom_site_fract_z
W1 0.000 0.000 0.000
Ir1 0.500 0.500 0.500
P1 0.250 0.250 0.250
```

Results
Energy of formation from the pure elements in eV/atom: 0.02
Energy relative to the lowest polymorph listed for this composition in eV per formula unit: 0.33
Space-group type: F-43m (216)

=====

Below is crystalline LiMnTeN2 at its relaxed geometry, with properties calculated at the PBEsol level.

CIF file:
```
data_LiMnTeN2
_chemical_formula_sum 'Li1 Mn1 Te1 N2'
_cell_length_a 3.601
_cell_length_b 3.601
_cell_length_c 5.411
_cell_angle_alpha 90.00
_cell_angle_beta 90.00
_cell_angle_gamma 90.00
_symmetry_space_group_name_H-M 'P 1'
_symmetry_Int_Tables_number 1
_symmetry_space_group_name_Hall 'P 1'
loop_
_atom_site_label
_atom_site_fract_x
_atom_site_fract_y
_atom_site_fract_z
N1 0.000 0.500 0.000
N2 0.500 0.000 0.000
Te1 0.000 0.000 0.500
Mn1 0.000 0.000 0.000
Li1 0.500 0.500 0.500
```

Results
Raw formation energy in meV/atom: 251
Space-group type: P4/mmm (123)